# SrHfSe2N (PBE, relaxed)
# D(E_F) = 2.6 states/eV/cell
# Mass density = 6.2 g/cm³
# Formation energy without anion corrections = -1.12 eV/atom
# Total moment = 0.98 μB/f.u.
data_SrHfSe2N
_cell_length_a 5.330
_cell_length_b 5.330
_cell_length_c 4.147
_cell_angle_alpha 90.00
_cell_angle_beta 90.00
_cell_angle_gamma 90.00
_symmetry_space_group_name_H-M 'P 4/m m m'
_symmetry_Int_Tables_number 123
_symmetry_space_group_name_Hall '-P 4 2'
loop_
_atom_site_label
_atom_site_type_symbol
_atom_site_fract_x
_atom_site_fract_y
_atom_site_fract_z
Sr1 Sr 0.000 0.000 0.000
Hf1 Hf 0.500 0.500 0.500
Se1 Se 0.000 0.500 0.500
N1 N 0.500 0.500 0.000

***

# HfTaSe2N (PBE, relaxed)
# D(E_F) = 5.1 states/eV/cell
# Mass density = 8.3 g/cm³
# Formation energy without anion corrections = 0.35 eV/atom
# Total moment = 2.02 μB/f.u.
data_HfTaSe2N
_cell_length_a 5.218
_cell_length_b 5.218
_cell_length_c 3.905
_cell_angle_alpha 90.00
_cell_angle_beta 90.00
_cell_angle_gamma 90.00
_symmetry_space_group_name_H-M 'P 4/m m m'
_symmetry_Int_Tables_number 123
_symmetry_space_group_name_Hall '-P 4 2'
loop_
_atom_site_label
_atom_site_type_symbol
_atom_site_fract_x
_atom_site_fract_y
_atom_site_fract_z
Hf1 Hf 0.000 0.000 0.000
Ta1 Ta 0.500 0.500 0.500
Se1 Se 0.000 0.500 0.000
N1 N 0.000 0.000 0.500

***

# HfTaSeN2 (PBE, relaxed)
# D(E_F) = 6.2 states/eV/cell
# Mass density = 9.0 g/cm³
# Formation energy without anion corrections = 0.59 eV/atom
# Total moment = 0.00 μB/f.u.
data_HfTaSeN2
_cell_length_a 4.069
_cell_length_b 4.069
_cell_length_c 5.184
_cell_angle_alpha 90.00
_cell_angle_beta 90.00
_cell_angle_gamma 90.00
_symmetry_space_group_name_H-M 'P 4/m m m'
_symmetry_Int_Tables_number 123
_symmetry_space_group_name_Hall '-P 4 2'
loop_
_atom_site_label
_atom_site_type_symbol
_atom_site_fract_x
_atom_site_fract_y
_atom_site_fract_z
Hf1 Hf 0.000 0.000 0.000
Ta1 Ta 0.500 0.500 0.500
Se1 Se 0.000 0.000 0.500
N1 N 0.000 0.500 0.000

***

# HfTaSeN2 (PBE, relaxed)
# D(E_F) = 3.1 states/eV/cell
# Mass density = 9.5 g/cm³
# Formation energy without anion corrections = -0.01 eV/atom
# Total moment = 0.00 μB/f.u.
data_HfTaSeN2
_cell_length_a 4.013
_cell_length_b 4.013
_cell_length_c 5.072
_cell_angle_alpha 90.00
_cell_angle_beta 90.00
_cell_angle_gamma 90.00
_symmetry_space_group_name_H-M 'P 4/m m m'
_symmetry_Int_Tables_number 123
_symmetry_space_group_name_Hall '-P 4 2'
loop_
_atom_site_label
_atom_site_type_symbol
_atom_site_fract_x
_atom_site_fract_y
_atom_site_fract_z
Hf1 Hf 0.000 0.000 0.000
Ta1 Ta 0.500 0.500 0.500
Se1 Se 0.500 0.500 0.000
N1 N 0.000 0.500 0.500

***

# HfTaSe2N (PBE, relaxed)
# D(E_F) = 2.6 states/eV/cell
# Mass density = 8.7 g/cm³
# Formation energy without anion corrections = -0.08 eV/atom
# Total moment = 0.00 μB/f.u.
data_HfTaSe2N
_cell_length_a 5.120
_cell_length_b 5.120
_cell_length_c 3.847
_cell_angle_alpha 90.00
_cell_angle_beta 90.00
_cell_angle_gamma 90.00
_symmetry_space_group_name_H-M 'P 4/m m m'
_symmetry_Int_Tables_number 123
_symmetry_space_group_name_Hall '-P 4 2'
loop_
_atom_site_label
_atom_site_type_symbol
_atom_site_fract_x
_atom_site_fract_y
_atom_site_fract_z
Hf1 Hf 0.000 0.000 0.000
Ta1 Ta 0.500 0.500 0.500
Se1 Se 0.000 0.500 0.500
N1 N 0.500 0.500 0.000

***

# Tb2HfSe2N2 (PBE, relaxed)
# Mass density = 8.7 g/cm³
# Formation energy without anion corrections = -1.68 eV/atom
# Total moment = 0.00 μB/f.u.
data_Tb2HfSe2N2
_cell_length_a 4.187
_cell_length_b 4.187
_cell_length_c 14.885
_cell_angle_alpha 90.00
_cell_angle_beta 90.00
_cell_angle_gamma 90.00
_symmetry_space_group_name_H-M 'I 4/m m m'
_symmetry_Int_Tables_number 139
_symmetry_space_group_name_Hall '-I 4 2'
loop_
_atom_site_label
_atom_site_type_symbol
_atom_site_fract_x
_atom_site_fract_y
_atom_site_fract_z
Tb1 Tb 0.000 0.000 0.111
Hf1 Hf 0.000 0.000 0.500
Se1 Se 0.000 0.000 0.318
N1 N 0.000 0.500 0.000

***

# HfTe2SeN (PBE, relaxed)
# D(E_F) = 3.9 states/eV/cell
# Mass density = 7.7 g/cm³
# Formation energy without anion corrections = 0.82 eV/atom
# Total moment = 0.00 μB/f.u.
data_HfTe2SeN
_cell_length_a 5.573
_cell_length_b 5.573
_cell_length_c 3.658
_cell_angle_alpha 90.00
_cell_angle_beta 90.00
_cell_angle_gamma 90.00
_symmetry_space_group_name_H-M 'P 4/m m m'
_symmetry_Int_Tables_number 123
_symmetry_space_group_name_Hall '-P 4 2'
loop_
_atom_site_label
_atom_site_type_symbol
_atom_site_fract_x
_atom_site_fract_y
_atom_site_fract_z
Hf1 Hf 0.000 0.000 0.000
Te1 Te 0.000 0.500 0.500
Se1 Se 0.500 0.500 0.500
N1 N 0.500 0.500 0.000

***

# HfTe2SeN (PBE, relaxed)
# D(E_F) = 6.7 states/eV/cell
# Mass density = 6.8 g/cm³
# Formation energy without anion corrections = 0.19 eV/atom
# Total moment = 0.00 μB/f.u.
data_HfTe2SeN
_cell_length_a 5.683
_cell_length_b 5.683
_cell_length_c 3.983
_cell_angle_alpha 90.00
_cell_angle_beta 90.00
_cell_angle_gamma 90.00
_symmetry_space_group_name_H-M 'P 4/m m m'
_symmetry_Int_Tables_number 123
_symmetry_space_group_name_Hall '-P 4 2'
loop_
_atom_site_label
_atom_site_type_symbol
_atom_site_fract_x
_atom_site_fract_y
_atom_site_fract_z
Hf1 Hf 0.000 0.000 0.000
Te1 Te 0.000 0.500 0.000
Se1 Se 0.500 0.500 0.500
N1 N 0.000 0.000 0.500

***

# HfTeSe2N (PBE, relaxed)
# D(E_F) = 4.8 states/eV/cell
# Mass density = 7.0 g/cm³
# Formation energy without anion corrections = -0.05 eV/atom
# Total moment = 0.14 μB/f.u.
data_HfTeSe2N
_cell_length_a 5.345
_cell_length_b 5.345
_cell_length_c 3.989
_cell_angle_alpha 90.00
_cell_angle_beta 90.00
_cell_angle_gamma 90.00
_symmetry_space_group_name_H-M 'P 4/m m m'
_symmetry_Int_Tables_number 123
_symmetry_space_group_name_Hall '-P 4 2'
loop_
_atom_site_label
_atom_site_type_symbol
_atom_site_fract_x
_atom_site_fract_y
_atom_site_fract_z
Hf1 Hf 0.000 0.000 0.000
Te1 Te 0.500 0.500 0.500
Se1 Se 0.000 0.500 0.000
N1 N 0.000 0.000 0.500

***

# HfTeSe2N (PBE, relaxed)
# D(E_F) = 2.5 states/eV/cell
# Mass density = 7.1 g/cm³
# Formation energy without anion corrections = 0.82 eV/atom
# Total moment = 0.46 μB/f.u.
data_HfTeSe2N
_cell_length_a 5.377
_cell_length_b 5.377
_cell_length_c 3.879
_cell_angle_alpha 90.00
_cell_angle_beta 90.00
_cell_angle_gamma 90.00
_symmetry_space_group_name_H-M 'P 4/m m m'
_symmetry_Int_Tables_number 123
_symmetry_space_group_name_Hall '-P 4 2'
loop_
_atom_site_label
_atom_site_type_symbol
_atom_site_fract_x
_atom_site_fract_y
_atom_site_fract_z
Hf1 Hf 0.000 0.000 0.000
Te1 Te 0.500 0.500 0.500
Se1 Se 0.000 0.500 0.500
N1 N 0.500 0.500 0.000

***

# HfThSeN2 (PBE, relaxed)
# D(E_F) = 0.0 states/eV/cell
# Mass density = 8.3 g/cm³
# Formation energy without anion corrections = -1.77 eV/atom
# Total moment = 0.00 μB/f.u.
data_HfThSeN2
_cell_length_a 7.239
_cell_length_b 4.148
_cell_length_c 7.727
_cell_angle_alpha 90.00
_cell_angle_beta 117.43
_cell_angle_gamma 90.00
_symmetry_space_group_name_H-M 'P 1 21/m 1'
_symmetry_Int_Tables_number 11
loop_
_symmetry_equiv_pos_as_xyz
'x,y,z'
'-x,-y,-z'
'-x,y+1/2,-z'
'x,-y+1/2,z'
loop_
_atom_site_label
_atom_site_type_symbol
_atom_site_fract_x
_atom_site_fract_y
_atom_site_fract_z
Hf1 Hf 0.186 0.250 0.055
Th1 Th 0.271 0.750 0.449
Se1 Se 0.235 0.250 0.736
N1 N 0.135 0.750 0.098
N2 N 0.363 0.250 0.365

***

# HfTlSeN2 (PBE, relaxed)
# D(E_F) = 4.9 states/eV/cell
# Mass density = 8.3 g/cm³
# Formation energy without anion corrections = 0.11 eV/atom
# Total moment = 0.00 μB/f.u.
data_HfTlSeN2
_cell_length_a 4.173
_cell_length_b 4.173
_cell_length_c 5.654
_cell_angle_alpha 90.00
_cell_angle_beta 90.00
_cell_angle_gamma 90.00
_symmetry_space_group_name_H-M 'P 4/m m m'
_symmetry_Int_Tables_number 123
_symmetry_space_group_name_Hall '-P 4 2'
loop_
_atom_site_label
_atom_site_type_symbol
_atom_site_fract_x
_atom_site_fract_y
_atom_site_fract_z
Hf1 Hf 0.000 0.000 0.000
Tl1 Tl 0.500 0.500 0.500
Se1 Se 0.000 0.000 0.500
N1 N 0.000 0.500 0.000